Crystalline Li3NbRu at its relaxed geometry, computed with PBE-GGA.

POSCAR file:
```
Li3NbRu
1.0
-3.6256 -1.7604 1.5048
1.6577 -0.0208 3.9698
-1.6171 3.9254 0.6959
Li Ru Nb
3 1 1
Cartesian
-1.8128 -0.8802 0.7524
-0.8086 1.9627 0.3479
0.8289 -0.0104 1.9849
0.0000 0.0000 0.0000
-1.7925 1.0721 3.0852
```

Values from the calculation:
**Energy of formation**: 1.1820 eV/atom
**E**: -3.835 eV per atom
**Density of states at the Fermi level**: 3.9 states/eV per cell
**Symmetry**: Pm-3m
**Total magnetic moment**: 0.00 μB per cell



Crystalline NiAuI2N at its relaxed geometry, computed with PBE-GGA.

POSCAR file:
```
NiAuI2N
1.0
-0.4473 -3.9111 -4.0993
5.5779 -1.0252 0.3695
-0.5988 -2.4069 2.3617
I Ni Au N
2 1 1 1
Cartesian
-0.2237 -1.9555 -2.0497
2.7890 -0.5126 0.1847
0.0000 0.0000 0.0000
2.2659 -3.6716 -0.6841
-0.2994 -1.2035 1.1809
```

Values from the calculation:
**E**: -3.413 eV per atom
**Density of states at the Fermi level**: 3.8 states/eV per cell
**Symmetry**: P4/mmm
**Total magnetic moment**: 0.00 μB per cell



Crystalline KMoBr4 at its relaxed geometry, computed with PBE-GGA.

POSCAR file:
```
KMoBr4
1.0
0.0000 4.6099 4.6099
4.6099 0.0000 4.6099
4.6099 4.6099 0.0000
Br K Mo
4 1 1
Cartesian
3.4575 5.7623 5.7623
5.7623 5.7623 3.4575
3.4575 3.4575 3.4575
5.7623 3.4575 5.7623
6.9148 6.9148 6.9148
0.0000 0.0000 0.0000
```

Values from the calculation:
**E**: -2.614 eV per atom
**Density of states at the Fermi level**: 5.6 states/eV per cell
**Symmetry**: F-43m
**Total magnetic moment**: 3.18 μB per cell



Crystalline USn2Au at its relaxed geometry, computed with PBE-GGA.

POSCAR file:
```
USn2Au
1.0
3.6699 0.0000 0.0000
0.0000 3.6699 0.0000
0.0000 0.0000 7.0849
Sn Au U
2 1 1
Cartesian
0.0000 0.0000 1.5183
0.0000 0.0000 5.5666
1.8349 1.8349 0.0000
1.8349 1.8349 3.5425
```

Values from the calculation:
**Energy of formation**: 0.0732 eV/atom
**E**: -5.570 eV per atom
**Density of states at the Fermi level**: 8.1 states/eV per cell
**Symmetry**: P4/mmm
**Total magnetic moment**: 3.62 μB per cell